VASP calculation (PBE) on a relaxed structure of Mg6CdPd5.

The structure in CIF format:
```
data_Mg6CdPd5
_space_group_name_H-M_alt 'P 1'
_space_group_IT_number 1
_space_group_name_Hall 'P 1'
_cell_length_a 4.585
_cell_length_b 6.378
_cell_length_c 7.948
_cell_angle_alpha 113.65
_cell_angle_beta 106.77
_cell_angle_gamma 90.00
loop_
_atom_site_label
_atom_site_fract_x
_atom_site_fract_y
_atom_site_fract_z
Mg1 0.826 0.567 0.652
Mg2 0.174 0.433 0.348
Mg3 0.826 0.084 0.652
Mg4 0.500 0.733 0.000
Mg5 0.500 0.267 0.000
Mg6 0.174 0.916 0.348
Pd1 0.000 0.500 0.000
Pd2 0.665 0.665 0.331
Pd3 0.341 0.841 0.681
Pd4 0.335 0.335 0.669
Pd5 0.659 0.159 0.319
Cd1 0.000 0.000 0.000
```

## Properties
DFT formation energy (eV per atom): -0.6284
Total moment (μB per atom): 0.00
ρ (g/cm3): 6.50



VASP calculation (PBE) on a relaxed structure of Mg3Cd4Pd.

The structure in CIF format:
```
data_Mg3Cd4Pd
_space_group_name_H-M_alt 'P 1'
_space_group_IT_number 1
_space_group_name_Hall 'P 1'
_cell_length_a 3.011
_cell_length_b 4.641
_cell_length_c 12.923
_cell_angle_alpha 78.19
_cell_angle_beta 96.69
_cell_angle_gamma 90.00
loop_
_atom_site_label
_atom_site_fract_x
_atom_site_fract_y
_atom_site_fract_z
Cd1 0.777 0.220 0.553
Cd2 0.853 0.631 0.706
Cd3 0.147 0.369 0.294
Cd4 0.223 0.780 0.447
Pd1 0.500 0.000 0.000
Mg1 0.602 0.921 0.204
Mg2 0.000 0.500 0.000
Mg3 0.398 0.079 0.796
```

## Properties
DFT formation energy (eV per atom): -0.1344
Total moment (μB per atom): 0.00
ρ (g/cm3): 5.95



VASP calculation (PBE) on a relaxed structure of Mg2Cd3Pd.

The structure in CIF format:
```
data_Mg2Cd3Pd
_space_group_name_H-M_alt 'P 1'
_space_group_IT_number 1
_space_group_name_Hall 'P 1'
_cell_length_a 3.055
_cell_length_b 4.749
_cell_length_c 8.484
_cell_angle_alpha 90.00
_cell_angle_beta 90.00
_cell_angle_gamma 90.00
loop_
_atom_site_label
_atom_site_fract_x
_atom_site_fract_y
_atom_site_fract_z
Pd1 0.500 0.500 0.332
Mg1 0.000 0.500 0.042
Mg2 0.000 0.000 0.471
Cd1 0.500 0.000 0.834
Cd2 0.500 0.500 0.654
Cd3 0.500 0.000 0.168
```

## Properties
DFT formation energy (eV per atom): -0.2223
Total moment (μB per atom): 0.00
ρ (g/cm3): 6.64